{
  "formula": "SnPdPt6",
  "functional": "GGA-PBE",
  "state": "optimized geometry",
  "cell": [[2.638, 1.523, 7.099], [-2.638, 1.523, 7.099], [0.000, -3.046, 7.099]],
  "species": ["Sn", "Pd", "Pt", "Pt", "Pt", "Pt", "Pt", "Pt"],
  "frac_coords": [[0.000, 0.000, 0.000], [0.500, 0.500, 0.500], [0.065, 0.065, 0.560], [0.065, 0.560, 0.065], [0.440, 0.935, 0.935], [0.560, 0.065, 0.065], [0.935, 0.440, 0.935], [0.935, 0.935, 0.440]],
  "formation_enthalpy_0k_ev_per_atom": 0.23,
  "total_magnetization_mub_per_fu": 0.00,
  "space_group": "R-3m, No. 166",
  "relative_energy_ev_per_fu": 3.32
}

***

{
  "formula": "SnPd8Pt2",
  "functional": "GGA-PBE",
  "state": "optimized geometry",
  "cell": [[7.179, -1.999, 0.000], [7.179, 1.999, 0.000], [-1.575, 0.000, 6.039]],
  "species": ["Sn", "Pd", "Pd", "Pd", "Pd", "Pd", "Pd", "Pd", "Pd", "Pt", "Pt"],
  "frac_coords": [[0.000, 0.000, 0.000], [0.091, 0.091, 0.453], [0.183, 0.183, 0.908], [0.363, 0.363, 0.818], [0.454, 0.454, 0.273], [0.546, 0.546, 0.727], [0.637, 0.637, 0.182], [0.817, 0.817, 0.092], [0.909, 0.909, 0.547], [0.274, 0.274, 0.367], [0.726, 0.726, 0.633]],
  "formation_enthalpy_0k_ev_per_atom": -0.21,
  "total_magnetization_mub_per_fu": 0.00,
  "space_group": "C2/m, No. 12",
  "relative_energy_ev_per_fu": 0.00
}

***

{
  "formula": "SnPd3Pt4",
  "functional": "GGA-PBE",
  "state": "optimized geometry",
  "cell": [[9.284, 0.000, 0.000], [0.000, 5.653, 0.000], [0.000, 0.000, 4.890]],
  "species": ["Sn", "Sn", "Pd", "Pd", "Pd", "Pd", "Pd", "Pd", "Pt", "Pt", "Pt", "Pt", "Pt", "Pt", "Pt", "Pt"],
  "frac_coords": [[0.000, 0.000, 0.000], [0.500, 0.000, 0.000], [0.000, 0.500, 0.000], [0.250, 0.000, 0.337], [0.250, 0.500, 0.328], [0.500, 0.500, 0.000], [0.750, 0.000, 0.663], [0.750, 0.500, 0.672], [0.000, 0.252, 0.500], [0.000, 0.748, 0.500], [0.250, 0.256, 0.826], [0.250, 0.744, 0.826], [0.500, 0.252, 0.500], [0.500, 0.748, 0.500], [0.750, 0.256, 0.174], [0.750, 0.744, 0.174]],
  "formation_enthalpy_0k_ev_per_atom": -0.22,
  "total_magnetization_mub_per_fu": 0.00,
  "space_group": "Pmma, No. 51",
  "relative_energy_ev_per_fu": 0.00
}

***

{
  "formula": "Sn2Pd5Pt3",
  "functional": "GGA-PBE",
  "state": "optimized geometry",
  "cell": [[-5.410, 6.426, 2.724], [5.410, -6.426, 2.724], [5.410, 6.426, -2.724]],
  "species": ["Sn", "Sn", "Sn", "Sn", "Pd", "Pd", "Pd", "Pd", "Pd", "Pd", "Pd", "Pd", "Pd", "Pd", "Pt", "Pt", "Pt", "Pt", "Pt", "Pt"],
  "frac_coords": [[0.148, 0.126, 0.275], [0.352, 0.626, 0.978], [0.648, 0.374, 0.022], [0.852, 0.874, 0.725], [0.157, 0.627, 0.784], [0.250, 0.503, 0.253], [0.250, 0.750, 0.500], [0.250, 0.997, 0.747], [0.343, 0.127, 0.470], [0.657, 0.873, 0.530], [0.750, 0.003, 0.253], [0.750, 0.250, 0.500], [0.750, 0.497, 0.747], [0.843, 0.373, 0.216], [0.175, 0.374, 0.549], [0.250, 0.250, 0.000], [0.325, 0.874, 0.199], [0.675, 0.126, 0.801], [0.750, 0.750, 0.000], [0.825, 0.626, 0.451]],
  "formation_enthalpy_0k_ev_per_atom": -0.05,
  "total_magnetization_mub_per_fu": 0.00,
  "space_group": "Ibam, No. 72"
}

***

{
  "formula": "Sn2Pd4Pt",
  "functional": "GGA-PBE",
  "state": "optimized geometry",
  "cell": [[4.723, 0.000, 0.000], [0.000, 8.916, 0.000], [-0.445, 0.000, 6.140]],
  "species": ["Sn", "Sn", "Sn", "Sn", "Pd", "Pd", "Pd", "Pd", "Pd", "Pd", "Pd", "Pd", "Pt", "Pt"],
  "frac_coords": [[0.194, 0.060, 0.338], [0.194, 0.440, 0.838], [0.806, 0.560, 0.162], [0.806, 0.940, 0.662], [0.005, 0.669, 0.562], [0.005, 0.831, 0.062], [0.493, 0.707, 0.844], [0.493, 0.793, 0.344], [0.507, 0.207, 0.656], [0.507, 0.293, 0.156], [0.995, 0.169, 0.938], [0.995, 0.331, 0.438], [0.500, 0.000, 0.000], [0.500, 0.500, 0.500]],
  "formation_enthalpy_0k_ev_per_atom": -0.27,
  "total_magnetization_mub_per_fu": 0.00,
  "space_group": "P2_1/c, No. 14",
  "relative_energy_ev_per_fu": 0.59
}

***

{
  "formula": "SnPd4Pt2",
  "functional": "GGA-PBE",
  "state": "optimized geometry",
  "cell": [[2.240, 1.293, 7.092], [-2.240, 1.293, 7.092], [0.000, -2.586, 7.092]],
  "species": ["Sn", "Pd", "Pd", "Pd", "Pd", "Pt", "Pt"],
  "frac_coords": [[0.000, 0.000, 0.000], [0.127, 0.127, 0.127], [0.385, 0.385, 0.385], [0.615, 0.615, 0.615], [0.873, 0.873, 0.873], [0.251, 0.251, 0.251], [0.749, 0.749, 0.749]],
  "formation_enthalpy_0k_ev_per_atom": -0.05,
  "total_magnetization_mub_per_fu": 0.00,
  "space_group": "R-3m, No. 166",
  "relative_energy_ev_per_fu": 1.80
}